The following is a DFT calculation (GGA+U) of an optimized crystal structure of Y2MnSiO6.

The density comes out at 4.868 g/cm3. Its uncorrected energy is -8.147 eV/atom.

Cell: 5.1264 5.1264 4.6316 Å, 90.00 90.00 90.00°
With the nearest neighbours (Å) after each atom.
Space group P4mm (No. 99)
One atom of each set of equivalent atoms:
Y 0.0000 0.5000 0.0000 [2 per cell]  4 O 2.29
Mn 0.0000 0.0000 0.5764 [1 per cell]  5 O 2.04-2.06
Si 0.5000 0.5000 0.5875 [1 per cell]  5 O 1.68-1.75
O 0.0000 0.0000 0.1314 [1 per cell]  1 Mn 2.06
O 0.2700 0.2700 0.7005 [4 per cell]  1 Si 1.75
O 0.5000 0.5000 0.2258 [1 per cell]  1 Si 1.68